Density functional theory data (PBE) for an optimized crystal structure of ZrSb2SO.

Structure (extended XYZ):
```
5
Lattice="5.565 0.000 0.000 0.000 5.565 0.000 0.000 0.000 4.781" Properties=species:S:1:pos:R:3 pbc="T T T"
Zr 0.000 0.000 0.000
Sb 0.000 2.783 0.000
Sb 2.783 0.000 0.000
S 0.000 0.000 2.391
O 2.783 2.783 2.391
```

## Properties
energy relative to the elements, uncorrected	2.333	eV/f.u.
total moment	0.0	μB per formula unit